(1)
Computed, not measured: a geometry-optimized KZn2Ru structure at the PBE level of DFT.

Cell and atoms, written as extended XYZ:
```
4
Lattice="0.000 3.353 3.353 3.353 0.000 3.353 3.353 3.353 0.000" Properties=species:S:1:pos:R:3 pbc="T T T"
Zn 5.029 5.029 5.029
Zn 1.676 1.676 1.676
K 0.000 0.000 0.000
Ru 3.353 3.353 3.353
```

Summary:
- SG: No. 225



(2)
Computed, not measured: a geometry-optimized KZn2Ru structure at the PBE level of DFT.

Cell and atoms, written as extended XYZ:
```
4
Lattice="3.414 0.000 0.000 0.000 3.414 0.000 0.000 0.000 7.778" Properties=species:S:1:pos:R:3 pbc="T T T"
Zn 0.000 0.000 7.371
Zn 1.707 1.707 1.358
K 0.000 0.000 4.048
Ru 1.707 1.707 6.669
```

Summary:
- SG: No. 99



Uncorrected energy for every record listed, in sequence, given in eV per atom: -2.5410 -2.8084.
Formation enthalpy at 0 K for every record listed, in sequence, given in eV per formula unit: 2.76 1.69.